VASP calculation (PBE) on an optimized crystal structure of Sm2Y2Te2Se3.

## Properties
Its space group is No. 139. The value obtained for the total magnetic moment is 0.00 μB per cell. As for the uncorrected formation energy: -138.9 kJ per mole of atoms. Its density of states at the Fermi level is 5.3 states/eV/f.u.

Cell: 8.862 8.862 8.862 Å, 143.04 143.04 53.26°
Fractional positions:
Sm (0.195, 0.195, 0.000)
Sm (0.805, 0.805, 0.000)
Y (0.000, 0.500, 0.500)
Y (0.500, 0.000, 0.500)
Te (0.395, 0.395, 0.000)
Te (0.605, 0.605, 0.000)
Se (0.000, 0.000, 0.000)
Se (0.250, 0.750, 0.500)
Se (0.750, 0.250, 0.500)